Material: Li2CaMg2
Method: DFT, PBE
State: relaxed

Structure (POSCAR):
```
Li2CaMg2
1.0
8.497 0.000 0.000
0.000 8.497 0.000
0.000 0.000 3.491
Li Ca Mg
4 2 4
direct
0.166 0.334 0.000 Li
0.334 0.834 0.000 Li
0.666 0.166 0.000 Li
0.834 0.666 0.000 Li
0.000 0.000 0.500 Ca
0.500 0.500 0.500 Ca
0.128 0.628 0.500 Mg
0.372 0.128 0.500 Mg
0.628 0.872 0.500 Mg
0.872 0.372 0.500 Mg
```

Summary:
DFT formation energy: 6 meV per atom
total DFT energy (no corrections): -17.98 eV for the cell shown
space group: P4/mbm (127)
distance to the lowest polymorph of the same formula: 45 meV per atom